DFT (PBE) results for a geometry-optimized AgAsIr2 structure.

Output
The formation energy is 455 meV/atom. The magnetic moment is 0.00 μB per formula unit.

```
4
Lattice="-1.488 2.189 2.468 0.108 -3.072 2.791 3.783 1.222 1.198" Properties=species:S:1:pos:R:3 pbc="T T T"
As 1.147 1.705 1.833
Ir 0.000 0.000 0.000
Ir 1.946 -0.925 1.994
Ag -0.690 -0.441 2.629
```


DFT (PBE) results for a geometry-optimized LaTb2PmEr5 structure.

Output
The formation energy is 268 meV/atom. The magnetic moment is 0.00 μB per formula unit.

```
18
Lattice="-6.190 2.933 -5.514 -6.245 -2.763 5.540 6.316 6.647 3.456" Properties=species:S:1:pos:R:3 pbc="T T T"
La 0.050 3.366 1.735
La -6.168 3.451 1.747
Tb -3.116 -0.723 1.493
Tb -4.531 1.486 -2.754
Tb -7.903 -1.316 2.780
Tb -9.318 0.893 -1.467
Pm -3.073 1.985 4.505
Pm -3.045 4.833 -1.023
Er -6.738 3.297 -1.832
Er -0.474 6.383 -0.211
Er 0.620 3.520 5.314
Er 3.184 5.166 2.047
Er -3.038 4.738 3.057
Er -9.302 1.651 1.435
Er -3.080 2.080 0.426
Er -5.644 0.434 3.693
Er -6.217 0.085 0.013
Er 0.000 0.000 0.000
```


DFT (PBE) results for a geometry-optimized CaZrP structure.

Output
The formation energy is -835 meV/atom. The magnetic moment is 0.00 μB per formula unit.

```
12
Lattice="-3.702 -0.185 -0.489 1.412 -10.304 -6.780 -0.479 -3.263 4.859" Properties=species:S:1:pos:R:3 pbc="T T T"
Ca 0.177 -2.984 -0.212
Ca 0.755 -10.583 -1.709
Ca -0.968 -8.228 -3.846
Ca -1.801 -5.524 1.437
Zr 0.706 -5.152 -3.390
Zr 0.466 -6.783 -0.960
Zr -1.851 -0.093 -0.245
Zr -2.090 -1.724 2.185
P 1.137 -9.985 -4.819
P -0.204 -3.581 2.898
P -1.420 -4.926 -1.674
P -1.349 -8.826 -0.736
```


DFT (PBE) results for a geometry-optimized CrCoSb2 structure.

Output
The magnetic moment is 3.81 μB per formula unit. The formation energy without anion corrections is 0.450 eV/atom.

```
8
Lattice="7.289 0.000 0.000 0.000 7.289 0.000 3.644 3.644 3.035" Properties=species:S:1:pos:R:3 pbc="T T T"
Sb 5.748 1.822 0.759
Sb 1.541 5.466 0.759
Sb 5.466 5.185 2.277
Sb 9.111 9.392 2.277
Co 0.000 0.000 0.000
Co 7.289 3.644 1.518
Cr 3.644 3.644 0.000
Cr 3.644 7.289 1.518
```


DFT (PBE) results for a geometry-optimized Te4Ir structure.

Output
The magnetic moment is 0.00 μB per formula unit. The formation energy without anion corrections is 0.313 eV/atom. As for the energy above the most stable polymorph in this dataset: 1.37 eV/f.u.

```
5
Lattice="4.817 2.899 0.937 -2.647 -0.940 4.960 1.233 -4.986 -2.470" Properties=species:S:1:pos:R:3 pbc="T T T"
Te 2.409 1.449 0.468
Te 1.702 -1.514 1.713
Te -1.323 -0.470 2.480
Te 0.617 -2.493 -1.235
Ir 0.000 0.000 0.000
```


DFT (PBE) results for a geometry-optimized BeZnAsIr structure.

Output
The formation energy is -40 meV/atom. The magnetic moment is 0.00 μB per formula unit. As for the energy above the most stable polymorph in this dataset: 0.56 eV/f.u.

```
8
Lattice="-8.790 0.232 -0.944 -0.111 -2.803 0.347 0.446 0.579 4.820" Properties=species:S:1:pos:R:3 pbc="T T T"
Be -4.080 0.217 0.443
Be -3.913 -0.896 3.027
As -6.364 0.324 0.580
As -6.197 -0.788 3.164
Ir -2.174 0.521 3.511
Ir -2.452 -1.170 1.274
Zn -0.186 0.221 1.723
Zn -0.019 -0.892 4.307
```


DFT (PBE) results for a geometry-optimized Y2MgOs structure.

Output
The formation energy is 125 meV/atom. The magnetic moment is 0.00 μB per formula unit.

```
4
Lattice="4.942 0.000 0.000 2.471 4.280 0.000 2.471 1.427 4.035" Properties=species:S:1:pos:R:3 pbc="T T T"
Mg 4.942 2.853 2.018
Os 2.471 1.427 1.009
Y 0.000 0.000 0.000
Y 7.413 4.280 3.027
```


DFT (PBE) results for a geometry-optimized Ac2PrNbN4 structure.

Output
The magnetic moment is 0.00 μB per formula unit. The formation energy without anion corrections is -0.906 eV/atom.

```
16
Lattice="-2.820 0.824 -2.063 -0.425 -6.407 1.146 -7.272 2.434 10.911" Properties=species:S:1:pos:R:3 pbc="T T T"
Ac -5.246 -3.087 5.937
Ac -2.166 -1.102 -0.603
Ac -5.271 -0.063 4.057
Ac -8.351 -2.048 10.597
Pr -5.803 0.687 8.205
Pr -4.714 -3.836 1.789
Nb -8.063 -1.682 7.227
Nb -2.453 -1.468 2.767
N -2.041 -2.973 1.602
N -6.892 -0.707 6.014
N -8.476 -0.177 8.392
N -3.625 -2.442 3.980
N -3.636 1.217 5.456
N 0.000 0.000 0.000
N -7.005 -3.242 8.280
N -3.512 0.092 1.714
```


Number 1: DFT total energy -5.851 eV/atom. Number 2: DFT total energy -4.371 eV/atom. Number 3: DFT total energy -6.155 eV/atom. Number 4: DFT total energy -5.794 eV/atom. Number 5: DFT total energy -3.972 eV/atom. Number 6: DFT total energy -4.668 eV/atom. Number 7: DFT total energy -6.313 eV/atom. Number 8: DFT total energy -7.952 eV/atom.